<A>
A relaxed structure of Al2V4C. Source: the Alexandria database, functional PBE.

```
data_Al2V4C
_cell_length_a 2.871
_cell_length_b 4.990
_cell_length_c 6.853
_cell_angle_alpha 107.45
_cell_angle_beta 90.00
_cell_angle_gamma 90.00
_symmetry_space_group_name_H-M 'P 1'
_symmetry_Int_Tables_number 1
_symmetry_space_group_name_Hall 'P 1'
loop_
_atom_site_label
_atom_site_type_symbol
_atom_site_fract_x
_atom_site_fract_y
_atom_site_fract_z
C1 C 0.000 0.071 0.071
Al1 Al 0.500 0.824 0.576
Al2 Al 0.500 0.319 0.567
V1 V 0.000 0.683 0.869
V2 V 0.500 0.906 0.208
V3 V 0.000 0.460 0.274
V4 V 0.500 0.237 0.935
```

***

<B>
A relaxed structure of Al2V4C. Source: the Alexandria database, functional PBE.

```
data_Al2V4C
_cell_length_a 3.886
_cell_length_b 3.886
_cell_length_c 7.173
_cell_angle_alpha 74.28
_cell_angle_beta 74.28
_cell_angle_gamma 90.00
_symmetry_space_group_name_H-M 'P 1'
_symmetry_Int_Tables_number 1
_symmetry_space_group_name_Hall 'P 1'
loop_
_atom_site_label
_atom_site_type_symbol
_atom_site_fract_x
_atom_site_fract_y
_atom_site_fract_z
V1 V 0.847 0.847 0.305
V2 V 0.500 0.000 0.000
V3 V 0.000 0.500 0.000
V4 V 0.153 0.153 0.695
Al1 Al 0.354 0.354 0.293
Al2 Al 0.646 0.646 0.707
C1 C 0.000 0.000 0.000
```

***

Relative energy table, unit kJ/mol of atoms: <A> 0.0; <B> 15.7

***

<A>
A relaxed structure of Al3WC. Source: the Alexandria database, functional PBE.

```
data_Al3WC
_cell_length_a 4.894
_cell_length_b 4.894
_cell_length_c 4.894
_cell_angle_alpha 90.00
_cell_angle_beta 90.00
_cell_angle_gamma 90.00
_symmetry_space_group_name_H-M 'P 1'
_symmetry_Int_Tables_number 1
_symmetry_space_group_name_Hall 'P 1'
loop_
_atom_site_label
_atom_site_type_symbol
_atom_site_fract_x
_atom_site_fract_y
_atom_site_fract_z
C1 C 0.500 0.500 0.500
Al1 Al 0.500 0.000 0.000
Al2 Al 0.000 0.000 0.500
Al3 Al 0.000 0.500 0.000
W1 W 0.000 0.000 0.000
```

***

<B>
A relaxed structure of Al3WC. Source: the Alexandria database, functional PBE.

```
data_Al3WC
_cell_length_a 4.069
_cell_length_b 4.069
_cell_length_c 4.069
_cell_angle_alpha 90.00
_cell_angle_beta 90.00
_cell_angle_gamma 90.00
_symmetry_space_group_name_H-M 'P 1'
_symmetry_Int_Tables_number 1
_symmetry_space_group_name_Hall 'P 1'
loop_
_atom_site_label
_atom_site_type_symbol
_atom_site_fract_x
_atom_site_fract_y
_atom_site_fract_z
Al1 Al 0.000 0.000 0.500
Al2 Al 0.500 0.000 0.000
Al3 Al 0.000 0.500 0.000
W1 W 0.500 0.500 0.500
C1 C 0.000 0.000 0.000
```

***

Relative energy table, unit kJ/mol of atoms: <A> 140.8; <B> 0.0

***

<A>
A relaxed structure of AlWC. Source: the Alexandria database, functional PBE.

```
data_AlWC
_cell_length_a 4.042
_cell_length_b 4.042
_cell_length_c 5.850
_cell_angle_alpha 69.79
_cell_angle_beta 69.79
_cell_angle_gamma 60.00
_symmetry_space_group_name_H-M 'P 1'
_symmetry_Int_Tables_number 1
_symmetry_space_group_name_Hall 'P 1'
loop_
_atom_site_label
_atom_site_type_symbol
_atom_site_fract_x
_atom_site_fract_y
_atom_site_fract_z
C1 C 0.736 0.736 0.791
C2 C 0.264 0.264 0.209
W1 W 0.609 0.609 0.173
W2 W 0.391 0.391 0.827
Al1 Al 0.134 0.134 0.597
Al2 Al 0.866 0.866 0.403
```

***

<B>
A relaxed structure of AlWC. Source: the Alexandria database, functional PBE.

```
data_AlWC
_cell_length_a 2.850
_cell_length_b 2.872
_cell_length_c 4.806
_cell_angle_alpha 90.00
_cell_angle_beta 90.00
_cell_angle_gamma 90.00
_symmetry_space_group_name_H-M 'P 1'
_symmetry_Int_Tables_number 1
_symmetry_space_group_name_Hall 'P 1'
loop_
_atom_site_label
_atom_site_type_symbol
_atom_site_fract_x
_atom_site_fract_y
_atom_site_fract_z
C1 C 0.500 0.500 0.681
W1 W 0.500 0.000 0.988
Al1 Al 0.000 0.000 0.497
```

***

Relative energy table, unit kJ/mol of atoms: <A> 11.9; <B> 0.0